Record 1
# BeC2

Crystalline BeC2 at its relaxed geometry (PBE, Alexandria via LeMat-Bulk).

a = 4.365 Å, b = 4.365 Å, c = 7.017 Å
α = 115.68°, β = 115.68°, γ = 33.04°
Positions (direct):
Be 0.104 0.104 0.390
Be 0.896 0.896 0.610
C 0.129 0.129 0.686
C 0.290 0.290 0.331
C 0.710 0.710 0.669
C 0.871 0.871 0.314

Results
- relative energy among the computed polymorphs (meV/atom) = 232.7
- total moment (μB/f.u.) = 0.00
- energy of formation (meV/atom) = 619

Record 2
# GdAlH

Crystalline GdAlH at its relaxed geometry (PBE, Alexandria via LeMat-Bulk).

a = 5.983 Å, b = 5.983 Å, c = 5.983 Å
α = 149.55°, β = 149.55°, γ = 43.60°
Positions (direct):
Gd 0.000 0.000 0.000
Al 0.715 0.715 0.000
H 0.458 0.458 0.000

Results
- relative energy among the computed polymorphs (meV/atom) = 268.7
- total moment (μB/f.u.) = 7.59

Record 3
# CsBiOs2O8

Crystalline CsBiOs2O8 at its relaxed geometry (PBE, Alexandria via LeMat-Bulk).

a = 10.153 Å, b = 10.153 Å, c = 10.153 Å
α = 31.86°, β = 31.86°, γ = 31.86°
Positions (direct):
Cs 0.000 0.000 0.000
Bi 0.500 0.500 0.500
Os 0.242 0.242 0.242
Os 0.758 0.758 0.758
O 0.099 0.494 0.751
O 0.249 0.506 0.901
O 0.304 0.304 0.304
O 0.494 0.751 0.099
O 0.506 0.901 0.249
O 0.696 0.696 0.696
O 0.751 0.099 0.494
O 0.901 0.249 0.506

Results
- total moment (μB/f.u.) = 3.78
- formation energy without anion corrections (eV/atom) = -1.031

Record 4
# FeNiW

Crystalline FeNiW at its relaxed geometry (PBE, Alexandria via LeMat-Bulk).

a = 5.960 Å, b = 5.960 Å, c = 5.960 Å
α = 154.61°, β = 154.61°, γ = 36.21°
Positions (direct):
Fe 0.000 0.000 0.000
Ni 0.350 0.350 0.000
W 0.680 0.680 0.000

Results
- relative energy among the computed polymorphs (meV/atom) = 24.3
- total moment (μB/f.u.) = 2.67
- energy of formation (meV/atom) = 97

Record 5
# Mg4Br3

Crystalline Mg4Br3 at its relaxed geometry (PBE, Alexandria via LeMat-Bulk).

a = 6.980 Å, b = 6.980 Å, c = 5.008 Å
α = 90.00°, β = 90.00°, γ = 120.00°
Positions (direct):
Mg 0.000 0.000 0.247
Mg 0.000 0.000 0.753
Mg 0.333 0.667 0.500
Mg 0.667 0.333 0.500
Br 0.000 0.500 0.000
Br 0.500 0.000 0.000
Br 0.500 0.500 0.000

Results
- total moment (μB/f.u.) = 0.00
- formation energy without anion corrections (eV/atom) = -0.125

Record 6
# YZnSbTe2

Crystalline YZnSbTe2 at its relaxed geometry (PBE, Alexandria via LeMat-Bulk).

a = 5.359 Å, b = 5.359 Å, c = 5.123 Å
α = 90.00°, β = 90.00°, γ = 90.00°
Positions (direct):
Y 0.000 0.000 0.000
Zn 0.500 0.500 0.500
Sb 0.500 0.500 0.000
Te 0.000 0.500 0.500
Te 0.500 0.000 0.500

Results
- relative energy among the computed polymorphs (meV/atom) = 0.0
- total moment (μB/f.u.) = 0.00
- formation energy without anion corrections (eV/atom) = -0.039

Record 7
# Na2AlTe5

Crystalline Na2AlTe5 at its relaxed geometry (PBE, Alexandria via LeMat-Bulk).

a = 6.791 Å, b = 6.791 Å, c = 6.479 Å
α = 118.11°, β = 118.11°, γ = 77.17°
Positions (direct):
Na 0.000 0.000 0.000
Na 0.000 0.000 0.499
Al 0.500 0.500 0.683
Te 0.027 0.500 0.513
Te 0.500 0.027 0.513
Te 0.500 0.500 0.249
Te 0.500 0.973 0.987
Te 0.973 0.500 0.987

Results
- total moment (μB/f.u.) = 0.00
- formation energy without anion corrections (eV/atom) = -0.359

Record 8
# CrFe2As

Crystalline CrFe2As at its relaxed geometry (PBE, Alexandria via LeMat-Bulk).

a = 4.442 Å, b = 4.442 Å, c = 2.739 Å
α = 90.00°, β = 90.00°, γ = 113.13°
Positions (direct):
Cr 0.000 0.000 0.000
Fe 0.000 0.500 0.500
Fe 0.500 0.000 0.500
As 0.500 0.500 0.000

Results
- total moment (μB/f.u.) = 2.66
- energy of formation (meV/atom) = 187

Record 9
# TbSc2Al6

Crystalline TbSc2Al6 at its relaxed geometry (PBE, Alexandria via LeMat-Bulk).

a = 7.804 Å, b = 7.804 Å, c = 3.304 Å
α = 90.00°, β = 90.00°, γ = 120.00°
Positions (direct):
Tb 0.000 0.000 0.000
Sc 0.333 0.667 0.000
Sc 0.667 0.333 0.000
Al 0.000 0.337 0.500
Al 0.000 0.663 0.500
Al 0.337 0.000 0.500
Al 0.337 0.337 0.500
Al 0.663 0.000 0.500
Al 0.663 0.663 0.500

Results
- relative energy among the computed polymorphs (meV/atom) = 0.0
- total moment (μB/f.u.) = 0.00
- energy of formation (meV/atom) = -462

Record 10
# Nd2AgSe

Crystalline Nd2AgSe at its relaxed geometry (PBE, Alexandria via LeMat-Bulk).

a = 3.724 Å, b = 3.724 Å, c = 7.348 Å
α = 90.00°, β = 90.00°, γ = 90.00°
Positions (direct):
Nd 0.000 0.000 0.244
Nd 0.000 0.000 0.756
Ag 0.500 0.500 0.500
Se 0.500 0.500 0.000

Results
- relative energy among the computed polymorphs (meV/atom) = 170.9
- total moment (μB/f.u.) = 0.01
- formation energy without anion corrections (eV/atom) = -0.864

Record 11
# Ac2MnZnS6

Crystalline Ac2MnZnS6 at its relaxed geometry (PBE, Alexandria via LeMat-Bulk).

a = 6.565 Å, b = 7.018 Å, c = 11.537 Å
α = 90.00°, β = 124.69°, γ = 90.00°
Positions (direct):
Ac 0.224 0.088 0.251
Ac 0.224 0.412 0.751
Ac 0.776 0.588 0.249
Ac 0.776 0.912 0.749
Mn 0.000 0.000 0.500
Mn 0.000 0.500 0.000
Zn 0.500 0.000 0.000
Zn 0.500 0.500 0.500
S 0.147 0.204 0.960
S 0.147 0.296 0.460
S 0.256 0.687 0.960
S 0.256 0.813 0.460
S 0.323 0.502 0.243
S 0.323 0.998 0.743
S 0.677 0.002 0.257
S 0.677 0.498 0.757
S 0.744 0.187 0.540
S 0.744 0.313 0.040
S 0.853 0.704 0.540
S 0.853 0.796 0.040

Results
- total moment (μB/f.u.) = 2.98
- formation energy without anion corrections (eV/atom) = -1.337

Record 12
# PrTiO3

Crystalline PrTiO3 at its relaxed geometry (PBE, Alexandria via LeMat-Bulk).

a = 3.942 Å, b = 3.942 Å, c = 3.942 Å
α = 90.00°, β = 90.00°, γ = 90.00°
Positions (direct):
Pr 0.000 0.000 0.000
Ti 0.500 0.500 0.500
O 0.000 0.500 0.500
O 0.500 0.000 0.500
O 0.500 0.500 0.000

Results
- total moment (μB/f.u.) = 0.00
- formation energy without anion corrections (eV/atom) = -3.066

Record 13
# Al5Tc3

Crystalline Al5Tc3 at its relaxed geometry (PBE, Alexandria via LeMat-Bulk).

a = 5.269 Å, b = 5.269 Å, c = 4.209 Å
α = 90.00°, β = 90.00°, γ = 100.79°
Positions (direct):
Al 0.000 0.000 0.000
Al 0.000 0.500 0.000
Al 0.292 0.292 0.500
Al 0.500 0.000 0.000
Al 0.708 0.708 0.500
Tc 0.214 0.786 0.500
Tc 0.500 0.500 0.000
Tc 0.786 0.214 0.500

Results
- relative energy among the computed polymorphs (meV/atom) = 0.0
- total moment (μB/f.u.) = 0.00
- energy of formation (meV/atom) = -342

Record 14
# FeReMo2

Crystalline FeReMo2 at its relaxed geometry (PBE, Alexandria via LeMat-Bulk).

a = 4.367 Å, b = 4.367 Å, c = 4.367 Å
α = 60.00°, β = 60.00°, γ = 60.00°
Positions (direct):
Fe 0.000 0.000 0.000
Re 0.250 0.250 0.250
Mo 0.500 0.500 0.500
Mo 0.750 0.750 0.750

Results
- relative energy among the computed polymorphs (meV/atom) = 49.6
- total moment (μB/f.u.) = 2.74
- energy of formation (meV/atom) = 137

Record 15
# K2Cu2Bi

Crystalline K2Cu2Bi at its relaxed geometry (PBE, Alexandria via LeMat-Bulk).

a = 11.552 Å, b = 11.552 Å, c = 11.552 Å
α = 162.62°, β = 162.62°, γ = 24.68°
Positions (direct):
K 0.122 0.122 0.000
K 0.878 0.878 0.000
Cu 0.250 0.750 0.500
Cu 0.750 0.250 0.500
Bi 0.500 0.500 0.000

Results
- relative energy among the computed polymorphs (meV/atom) = 0.0
- total moment (μB/f.u.) = 0.00
- energy of formation (meV/atom) = 83

Record 16
# CaMoS3

Crystalline CaMoS3 at its relaxed geometry (PBE, Alexandria via LeMat-Bulk).

a = 4.732 Å, b = 4.732 Å, c = 4.732 Å
α = 90.00°, β = 90.00°, γ = 90.00°
Positions (direct):
Ca 0.000 0.000 0.000
Mo 0.500 0.500 0.500
S 0.000 0.500 0.500
S 0.500 0.000 0.500
S 0.500 0.500 0.000

Results
- relative energy among the computed polymorphs (meV/atom) = 0.0
- total moment (μB/f.u.) = 0.00
- formation energy without anion corrections (eV/atom) = -0.789

Record 17
# NaSr2In2

Crystalline NaSr2In2 at its relaxed geometry (PBE, Alexandria via LeMat-Bulk).

a = 9.620 Å, b = 9.620 Å, c = 3.957 Å
α = 90.00°, β = 90.00°, γ = 90.00°
Positions (direct):
Na 0.000 0.000 0.000
Na 0.500 0.500 0.000
Sr 0.154 0.346 0.000
Sr 0.346 0.846 0.000
Sr 0.654 0.154 0.000
Sr 0.846 0.654 0.000
In 0.140 0.640 0.500
In 0.360 0.140 0.500
In 0.640 0.860 0.500
In 0.860 0.360 0.500

Results
- relative energy among the computed polymorphs (meV/atom) = 115.6
- total moment (μB/f.u.) = 0.00
- energy of formation (meV/atom) = -183

Record 18
# CsKTl2Pt

Crystalline CsKTl2Pt at its relaxed geometry (PBE, Alexandria via LeMat-Bulk).

a = 5.429 Å, b = 5.429 Å, c = 6.292 Å
α = 90.00°, β = 90.00°, γ = 90.00°
Positions (direct):
Cs 0.000 0.000 0.000
K 0.500 0.500 0.000
Tl 0.000 0.500 0.500
Tl 0.500 0.000 0.500
Pt 0.500 0.500 0.500

Results
- relative energy among the computed polymorphs (meV/atom) = 0.0
- total moment (μB/f.u.) = 0.00
- energy of formation (meV/atom) = -97

Record 19
# Ce2ErCo9

Crystalline Ce2ErCo9 at its relaxed geometry (PBE, Alexandria via LeMat-Bulk).

a = 8.744 Å, b = 8.744 Å, c = 8.744 Å
α = 32.50°, β = 32.50°, γ = 32.50°
Positions (direct):
Ce 0.140 0.140 0.140
Ce 0.860 0.860 0.860
Er 0.000 0.000 0.000
Co 0.082 0.578 0.578
Co 0.333 0.333 0.333
Co 0.422 0.422 0.918
Co 0.422 0.918 0.422
Co 0.500 0.500 0.500
Co 0.578 0.082 0.578
Co 0.578 0.578 0.082
Co 0.667 0.667 0.667
Co 0.918 0.422 0.422

Results
- total moment (μB/f.u.) = 7.95
- energy of formation (meV/atom) = -196

Record 20
# ZrTeRh2

Crystalline ZrTeRh2 at its relaxed geometry (PBE, Alexandria via LeMat-Bulk).

a = 4.674 Å, b = 4.674 Å, c = 4.674 Å
α = 60.00°, β = 60.00°, γ = 60.00°
Positions (direct):
Zr 0.000 0.000 0.000
Te 0.500 0.500 0.500
Rh 0.250 0.250 0.250
Rh 0.750 0.750 0.750

Results
- relative energy among the computed polymorphs (meV/atom) = 85.2
- total moment (μB/f.u.) = 0.00
- formation energy without anion corrections (eV/atom) = -0.447

no.,energy (eV per atom)
1,-6.772
2,-7.142
3,-6.603
4,-8.968
5,-1.753
6,-3.668
7,-3.120
8,-7.613
9,-4.879
10,-4.832
11,-5.680
12,-8.575
13,-6.569
14,-10.506
15,-2.771
16,-5.832
17,-2.215
18,-2.642
19,-6.894
20,-7.045